Entry 1:
# Sm6CoSb3 (GGA-PBE, relaxed)
# Formation energy from raw total energies = -0.53 eV per atom
# M_tot = 0.2 μB/cell
# DFT total energy = -5.312 eV per atom
# N(E_F) = 20.287 states/eV/cell
data_Sm6CoSb3
_chemical_formula_sum 'Sm12 Co2 Sb6'
_space_group_name_H-M_alt 'P 1'
_space_group_IT_number 1
_cell_length_a 9.343
_cell_length_b 9.343
_cell_length_c 7.463
_cell_angle_alpha 90.00
_cell_angle_beta 90.00
_cell_angle_gamma 103.44
loop_
_space_group_symop_operation_xyz
'x,y,z'
loop_
_atom_site_label
_atom_site_type_symbol
_atom_site_fract_x
_atom_site_fract_y
_atom_site_fract_z
Sm1 Sm 0.001 0.999 0.500
Sm2 Sm 0.098 0.598 0.906
Sm3 Sm 0.242 0.758 0.438
Sm4 Sm 0.299 0.366 0.413
Sm5 Sm 0.366 0.299 0.913
Sm6 Sm 0.402 0.902 0.906
Sm7 Sm 0.598 0.098 0.406
Sm8 Sm 0.634 0.701 0.413
Sm9 Sm 0.701 0.634 0.913
Sm10 Sm 0.758 0.242 0.938
Sm11 Sm 0.902 0.402 0.406
Sm12 Sm 0.999 0.001 0.000
Co1 Co 0.140 0.860 0.740
Co2 Co 0.860 0.140 0.240
Sb1 Sb 0.069 0.293 0.727
Sb2 Sb 0.293 0.069 0.227
Sb3 Sb 0.394 0.606 0.114
Sb4 Sb 0.606 0.394 0.614
Sb5 Sb 0.707 0.931 0.727
Sb6 Sb 0.931 0.707 0.227

***

Entry 2:
# ThAlZn2Cd (GGA-PBE, relaxed)
# M_tot = 0.0 μB/cell
# DFT total energy = -3.208 eV per atom
# N(E_F) = 1.759 states/eV/cell
data_ThAlZn2Cd
_chemical_formula_sum 'Th1 Al1 Zn2 Cd1'
_space_group_name_H-M_alt 'P 1'
_space_group_IT_number 1
_cell_length_a 6.345
_cell_length_b 6.345
_cell_length_c 6.345
_cell_angle_alpha 140.55
_cell_angle_beta 140.55
_cell_angle_gamma 57.02
loop_
_space_group_symop_operation_xyz
'x,y,z'
loop_
_atom_site_label
_atom_site_type_symbol
_atom_site_fract_x
_atom_site_fract_y
_atom_site_fract_z
Th1 Th 0.000 0.000 0.000
Al1 Al 0.750 0.250 0.500
Zn1 Zn 0.392 0.392 0.000
Zn2 Zn 0.608 0.608 0.000
Cd1 Cd 0.250 0.750 0.500

***

Q: Which of these has the lowest N(E_F)?
A: ThAlZn2Cd